# 1
SrTbLuMg: optimized geometry, PBE-GGA.

abc: 5.6901 5.6901 5.6901
angles: 60.00 60.00 60.00
Closest atoms and distances in Å follow each position.
Sites, in units of the cell vectors:
Sr (0.7500, 0.7500, 0.7500)  4 Mg 3.48, 4 Lu 3.48
Mg (0.0000, 0.0000, 0.0000)  4 Tb 3.48, 4 Sr 3.48
Lu (0.5000, 0.5000, 0.5000)  4 Sr 3.48, 4 Tb 3.48
Tb (0.2500, 0.2500, 0.2500)  4 Mg 3.48, 4 Lu 3.48

Output
Formation enthalpy at 0 K   152 meV/atom



# 2
SrLuMgZn: optimized geometry, PBE-GGA.

abc: 5.3894 5.3894 5.3894
angles: 60.00 60.00 60.00
Closest atoms and distances in Å follow each position.
Sites, in units of the cell vectors:
Sr (0.2500, 0.2500, 0.2500)  4 Mg 3.30, 4 Zn 3.30
Zn (0.0000, 0.0000, 0.0000)  4 Lu 3.30, 4 Sr 3.30
Lu (0.7500, 0.7500, 0.7500)  4 Zn 3.30, 4 Mg 3.30
Mg (0.5000, 0.5000, 0.5000)  4 Sr 3.30, 4 Lu 3.30

Output
Formation enthalpy at 0 K   -29 meV/atom



Number 1: spin magnetization 0.0 μB/f.u., D(E_F) 0.757 states/eV per atom. Number 2: spin magnetization 0.0 μB/f.u., D(E_F) 0.990 states/eV per atom.